First-principles (PBE-GGA) data for a geometry-optimized LiCe3Ge6Rh2 structure, as listed in the Alexandria database.

Unit cell a=6.1651 b=6.1651 c=7.3541 alpha=90.00 beta=90.00 gamma=120.00
Positions (direct):
Li  0.0000  0.0000  0.0000
Ce  0.0000  0.0000  0.5000
Ce  0.3333  0.6667  0.1793
Ce  0.6667  0.3333  0.8207
Ge  0.1914  0.3827  0.7992
Ge  0.1914  0.8086  0.7992
Ge  0.3827  0.1914  0.2008
Ge  0.6173  0.8086  0.7992
Ge  0.8086  0.1914  0.2008
Ge  0.8086  0.6173  0.2008
Rh  0.3333  0.6667  0.5129
Rh  0.6667  0.3333  0.4871

Properties
Its spin magnetization is 0.58 Bohr magnetons per cell. As for the formation energy: -0.450 eV per atom.